This record from the Alexandria database describes a geometry-optimized YTm2Sc structure. The functional is GGA-PBE.

Output
Fermi-level density of states   6.75 states/eV/f.u.
Uncorrected energy   -5.39 eV/atom
Offset from the most stable computed form   0.020 eV/atom
Formation energy from the elements   19 kJ/mol of formula units

Structure (CIF):
```
data_YTm2Sc
_symmetry_space_group_name_H-M 'P 4/m m m'
_symmetry_Int_Tables_number 123
_symmetry_space_group_name_Hall '-P 4 2'
_cell_length_a 4.8784
_cell_length_b 4.8784
_cell_length_c 4.8970
_cell_angle_alpha 90.00
_cell_angle_beta 90.00
_cell_angle_gamma 90.00
loop_
_atom_site_label
_atom_site_type_symbol
_atom_site_fract_x
_atom_site_fract_y
_atom_site_fract_z
Y1 Y 0.0000 0.0000 0.0000
Tm1 Tm 0.0000 0.5000 0.5000
Sc1 Sc 0.5000 0.5000 0.0000
```


This record from the Alexandria database describes a geometry-optimized Y5Tm5Sc2 structure. The functional is GGA-PBE.

Output
Fermi-level density of states   24.53 states/eV/f.u.
Uncorrected energy   -5.54 eV/atom
Formation energy from the elements   84 kJ/mol of formula units

Structure (CIF):
```
data_Y5Tm5Sc2
_symmetry_space_group_name_H-M 'C 1 2/m 1'
_symmetry_Int_Tables_number 12
_cell_length_a 16.7530
_cell_length_b 5.5048
_cell_length_c 9.4917
_cell_angle_alpha 90.00
_cell_angle_beta 124.51
_cell_angle_gamma 90.00
loop_
_symmetry_equiv_pos_as_xyz
'x,y,z'
'-x,-y,-z'
'-x,y,-z'
'x,-y,z'
'x+1/2,y+1/2,z'
'-x+1/2,-y+1/2,-z'
'-x+1/2,y+1/2,-z'
'x+1/2,-y+1/2,z'
loop_
_atom_site_label
_atom_site_type_symbol
_atom_site_fract_x
_atom_site_fract_y
_atom_site_fract_z
Y1 Y 0.0000 0.0000 0.0000
Y2 Y 0.1212 0.0000 0.7794
Y3 Y 0.2498 0.0000 0.2510
Tm1 Tm 0.0000 0.5000 0.5000
Tm2 Tm 0.1233 0.5000 0.9602
Tm3 Tm 0.1275 0.5000 0.3029
Sc1 Sc 0.1262 0.0000 0.4557
```


This record from the Alexandria database describes a geometry-optimized YTm3Sc4 structure. The functional is GGA-PBE.

Output
Fermi-level density of states   12.59 states/eV/f.u.
Uncorrected energy   -5.59 eV/atom
Formation energy from the elements   45 kJ/mol of formula units

Structure (CIF):
```
data_YTm3Sc4
_symmetry_space_group_name_H-M 'C 1 2/m 1'
_symmetry_Int_Tables_number 12
_cell_length_a 22.1429
_cell_length_b 3.3938
_cell_length_c 5.8678
_cell_angle_alpha 90.00
_cell_angle_beta 95.19
_cell_angle_gamma 90.00
loop_
_symmetry_equiv_pos_as_xyz
'x,y,z'
'-x,-y,-z'
'-x,y,-z'
'x,-y,z'
'x+1/2,y+1/2,z'
'-x+1/2,-y+1/2,-z'
'-x+1/2,y+1/2,-z'
'x+1/2,-y+1/2,z'
loop_
_atom_site_label
_atom_site_type_symbol
_atom_site_fract_x
_atom_site_fract_y
_atom_site_fract_z
Y1 Y 0.0000 0.0000 0.0000
Tm1 Tm 0.0000 0.5000 0.5000
Tm2 Tm 0.1296 0.5000 0.8736
Sc1 Sc 0.1291 0.0000 0.3763
Sc2 Sc 0.2487 0.5000 0.2551
```


This record from the Alexandria database describes a geometry-optimized Y6Tm4Sc structure. The functional is GGA-PBE.

Output
Fermi-level density of states   19.45 states/eV/f.u.
Uncorrected energy   -5.59 eV/atom
Formation energy from the elements   141 kJ/mol of formula units

Structure (CIF):
```
data_Y6Tm4Sc
_symmetry_space_group_name_H-M 'C m c m'
_symmetry_Int_Tables_number 63
_symmetry_space_group_name_Hall '-C 2c 2'
_cell_length_a 5.5668
_cell_length_b 9.6103
_cell_length_c 25.4869
_cell_angle_alpha 90.00
_cell_angle_beta 90.00
_cell_angle_gamma 90.00
loop_
_atom_site_label
_atom_site_type_symbol
_atom_site_fract_x
_atom_site_fract_y
_atom_site_fract_z
Y1 Y 0.0000 0.0000 0.0000
Y2 Y 0.0000 0.0035 0.2500
Y3 Y 0.0000 0.3306 0.6053
Y4 Y 0.0000 0.3367 0.1822
Tm1 Tm 0.0000 0.0034 0.1214
Tm2 Tm 0.0000 0.3345 0.0427
Sc1 Sc 0.0000 0.3300 0.7500
```


This record from the Alexandria database describes a geometry-optimized Y2TmSc structure. The functional is GGA-PBE.

Output
Fermi-level density of states   8.76 states/eV/f.u.
Uncorrected energy   -5.81 eV/atom
Offset from the most stable computed form   0.104 eV/atom
Formation energy from the elements   48 kJ/mol of formula units

Structure (CIF):
```
data_Y2TmSc
_symmetry_space_group_name_H-M 'F m -3 m'
_symmetry_Int_Tables_number 225
_symmetry_space_group_name_Hall '-F 4 2 3'
_cell_length_a 7.8314
_cell_length_b 7.8314
_cell_length_c 7.8314
_cell_angle_alpha 90.00
_cell_angle_beta 90.00
_cell_angle_gamma 90.00
loop_
_atom_site_label
_atom_site_type_symbol
_atom_site_fract_x
_atom_site_fract_y
_atom_site_fract_z
Y1 Y 0.2500 0.2500 0.2500
Tm1 Tm 0.0000 0.0000 0.0000
Sc1 Sc 0.0000 0.0000 0.5000
```


This record from the Alexandria database describes a geometry-optimized Y12Tm7Sc structure. The functional is GGA-PBE.

Output
Fermi-level density of states   43.37 states/eV/f.u.
Uncorrected energy   -5.58 eV/atom
Offset from the most stable computed form   0.000 eV/atom
Formation energy from the elements   339 kJ/mol of formula units

Structure (CIF):
```
data_Y12Tm7Sc
_symmetry_space_group_name_H-M 'R -3'
_symmetry_Int_Tables_number 148
_symmetry_space_group_name_Hall '-R 3'
_cell_length_a 14.9109
_cell_length_b 14.9109
_cell_length_c 9.9044
_cell_angle_alpha 90.00
_cell_angle_beta 90.00
_cell_angle_gamma 120.00
loop_
_atom_site_label
_atom_site_type_symbol
_atom_site_fract_x
_atom_site_fract_y
_atom_site_fract_z
Y1 Y 0.0338 0.7804 0.0735
Y2 Y 0.0435 0.8537 0.7552
Tm1 Tm 0.0000 0.0000 0.0000
Tm2 Tm 0.0722 0.8295 0.4308
Sc1 Sc 0.0000 0.0000 0.5000
```


This record from the Alexandria database describes a geometry-optimized Y4TmSc4 structure. The functional is GGA-PBE.

Output
Fermi-level density of states   13.94 states/eV/f.u.
Uncorrected energy   -6.15 eV/atom
Offset from the most stable computed form   0.000 eV/atom
Formation energy from the elements   30 kJ/mol of formula units

Structure (CIF):
```
data_Y4TmSc4
_symmetry_space_group_name_H-M 'C 1 2/m 1'
_symmetry_Int_Tables_number 12
_cell_length_a 17.0368
_cell_length_b 3.5365
_cell_length_c 8.9776
_cell_angle_alpha 90.00
_cell_angle_beta 107.53
_cell_angle_gamma 90.00
loop_
_symmetry_equiv_pos_as_xyz
'x,y,z'
'-x,-y,-z'
'-x,y,-z'
'x,-y,z'
'x+1/2,y+1/2,z'
'-x+1/2,-y+1/2,-z'
'-x+1/2,y+1/2,-z'
'x+1/2,-y+1/2,z'
loop_
_atom_site_label
_atom_site_type_symbol
_atom_site_fract_x
_atom_site_fract_y
_atom_site_fract_z
Y1 Y 0.1603 0.0000 0.4379
Y2 Y 0.1972 0.5000 0.8042
Tm1 Tm 0.0000 0.5000 0.5000
Sc1 Sc 0.0221 0.0000 0.8292
Sc2 Sc 0.1235 0.5000 0.1073
```


This record from the Alexandria database describes a geometry-optimized YTm2Sc6 structure. The functional is GGA-PBE.

Output
Fermi-level density of states   19.56 states/eV/f.u.
Uncorrected energy   -5.87 eV/atom
Offset from the most stable computed form   0.000 eV/atom
Formation energy from the elements   56 kJ/mol of formula units

Structure (CIF):
```
data_YTm2Sc6
_symmetry_space_group_name_H-M 'C m m m'
_symmetry_Int_Tables_number 65
_symmetry_space_group_name_Hall '-C 2 2'
_cell_length_a 9.1240
_cell_length_b 15.8168
_cell_length_c 3.3066
_cell_angle_alpha 90.00
_cell_angle_beta 90.00
_cell_angle_gamma 90.00
loop_
_atom_site_label
_atom_site_type_symbol
_atom_site_fract_x
_atom_site_fract_y
_atom_site_fract_z
Y1 Y 0.0000 0.0000 0.0000
Tm1 Tm 0.0000 0.3334 0.0000
Sc1 Sc 0.1655 0.5000 0.5000
Sc2 Sc 0.1672 0.1673 0.5000
```


This record from the Alexandria database describes a geometry-optimized Y2Tm9Sc structure. The functional is GGA-PBE.

Output
Fermi-level density of states   18.54 states/eV/f.u.
Uncorrected energy   -4.92 eV/atom
Formation energy from the elements   42 kJ/mol of formula units

Structure (CIF):
```
data_Y2Tm9Sc
_symmetry_space_group_name_H-M 'P 4/m m m'
_symmetry_Int_Tables_number 123
_symmetry_space_group_name_Hall '-P 4 2'
_cell_length_a 4.9305
_cell_length_b 4.9305
_cell_length_c 14.7661
_cell_angle_alpha 90.00
_cell_angle_beta 90.00
_cell_angle_gamma 90.00
loop_
_atom_site_label
_atom_site_type_symbol
_atom_site_fract_x
_atom_site_fract_y
_atom_site_fract_z
Y1 Y 0.0000 0.0000 0.1684
Tm1 Tm 0.0000 0.5000 0.0000
Tm2 Tm 0.0000 0.5000 0.3384
Tm3 Tm 0.5000 0.5000 0.1695
Tm4 Tm 0.5000 0.5000 0.5000
Sc1 Sc 0.0000 0.0000 0.5000
```


This record from the Alexandria database describes a geometry-optimized YTm8Sc2 structure. The functional is GGA-PBE.

Output
Fermi-level density of states   18.29 states/eV/f.u.
Uncorrected energy   -4.86 eV/atom
Offset from the most stable computed form   0.000 eV/atom
Formation energy from the elements   138 kJ/mol of formula units

Structure (CIF):
```
data_YTm8Sc2
_symmetry_space_group_name_H-M 'I m m m'
_symmetry_Int_Tables_number 71
_symmetry_space_group_name_Hall '-I 2 2'
_cell_length_a 5.2787
_cell_length_b 8.1028
_cell_length_c 15.3161
_cell_angle_alpha 90.00
_cell_angle_beta 90.00
_cell_angle_gamma 90.00
loop_
_atom_site_label
_atom_site_type_symbol
_atom_site_fract_x
_atom_site_fract_y
_atom_site_fract_z
Y1 Y 0.0000 0.0000 0.0000
Tm1 Tm 0.0000 0.2000 0.5000
Tm2 Tm 0.0000 0.2951 0.1433
Tm3 Tm 0.0000 0.5000 0.3384
Sc1 Sc 0.0000 0.0000 0.2979
```